Arrangement i

The following is a PBE-GGA calculation of crystalline NaLi2Os2 at its relaxed geometry, from Alexandria.

Cell lengths 8.154, 8.154, 2.485 Å; angles 90.00, 90.00, 90.00 degrees
Element x y z (fractional)
1 Na 0.000 0.000 0.000
2 Na 0.500 0.500 0.000
3 Li 0.180 0.320 0.000
4 Li 0.320 0.820 0.000
5 Li 0.680 0.180 0.000
6 Li 0.820 0.680 0.000
7 Os 0.107 0.607 0.500
8 Os 0.393 0.107 0.500
9 Os 0.607 0.893 0.500
10 Os 0.893 0.393 0.500

Space group: P4/mbm, No. 127
Magnetization (μB per atom): 0.00
ρ (g/cm³): 8.4


Arrangement ii

The following is a PBE-GGA calculation of crystalline NaLi2Os2 at its relaxed geometry, from Alexandria.

Cell lengths 3.536, 3.536, 15.676 Å; angles 90.00, 90.00, 90.00 degrees
Element x y z (fractional)
1 Na 0.000 0.000 0.000
2 Na 0.500 0.500 0.500
3 Li 0.000 0.000 0.381
4 Li 0.000 0.000 0.619
5 Li 0.500 0.500 0.119
6 Li 0.500 0.500 0.881
7 Os 0.000 0.500 0.250
8 Os 0.000 0.500 0.750
9 Os 0.500 0.000 0.250
10 Os 0.500 0.000 0.750

Space group: I4/mmm, No. 139
Magnetization (μB per atom): 0.00
ρ (g/cm³): 7.1


Stability, descending: arrangement i, arrangement ii


Arrangement i

The following is a PBE-GGA calculation of crystalline NaLiOs3 at its relaxed geometry, from Alexandria.

Cell lengths 4.543, 4.543, 4.543 Å; angles 90.00, 90.00, 90.00 degrees
Element x y z (fractional)
1 Na 0.000 0.000 0.000
2 Li 0.500 0.500 0.500
3 Os 0.000 0.000 0.500
4 Os 0.000 0.500 0.000
5 Os 0.500 0.000 0.000

Space group: Pm-3m, No. 221
Magnetization (μB per atom): 0.83
ρ (g/cm³): 10.6


Arrangement ii

The following is a PBE-GGA calculation of crystalline NaLiOs3 at its relaxed geometry, from Alexandria.

Cell lengths 4.212, 4.212, 4.212 Å; angles 90.00, 90.00, 90.00 degrees
Element x y z (fractional)
1 Na 0.000 0.000 0.000
2 Li 0.500 0.500 0.500
3 Os 0.000 0.500 0.500
4 Os 0.500 0.000 0.500
5 Os 0.500 0.500 0.000

Space group: Pm-3m, No. 221
Magnetization (μB per atom): 0.15
ρ (g/cm³): 13.4


Stability, descending: arrangement ii, arrangement i


Arrangement i

The following is a PBE-GGA calculation of crystalline NaLiOs2 at its relaxed geometry, from Alexandria.

Cell lengths 3.662, 3.662, 20.176 Å; angles 90.00, 90.00, 90.00 degrees
Element x y z (fractional)
1 Na 0.000 0.000 0.000
2 Na 0.000 0.500 0.250
3 Na 0.500 0.000 0.750
4 Na 0.500 0.500 0.500
5 Li 0.000 0.000 0.500
6 Li 0.000 0.500 0.750
7 Li 0.500 0.000 0.250
8 Li 0.500 0.500 0.000
9 Os 0.211 0.750 0.625
10 Os 0.250 0.211 0.375
11 Os 0.250 0.289 0.875
12 Os 0.289 0.750 0.125
13 Os 0.711 0.250 0.125
14 Os 0.750 0.711 0.875
15 Os 0.750 0.789 0.375
16 Os 0.789 0.250 0.625

Space group: I-42d, No. 122
Magnetization (μB per atom): 0.00
ρ (g/cm³): 10.1


Arrangement ii

The following is a PBE-GGA calculation of crystalline NaLiOs2 at its relaxed geometry, from Alexandria.

Cell lengths 6.117, 6.117, 6.117 Å; angles 90.00, 90.00, 90.00 degrees
Element x y z (fractional)
1 Na 0.000 0.000 0.000
2 Na 0.000 0.500 0.500
3 Na 0.500 0.000 0.500
4 Na 0.500 0.500 0.000
5 Li 0.000 0.000 0.500
6 Li 0.000 0.500 0.000
7 Li 0.500 0.000 0.000
8 Li 0.500 0.500 0.500
9 Os 0.250 0.250 0.250
10 Os 0.250 0.250 0.750
11 Os 0.250 0.750 0.250
12 Os 0.250 0.750 0.750
13 Os 0.750 0.250 0.250
14 Os 0.750 0.250 0.750
15 Os 0.750 0.750 0.250
16 Os 0.750 0.750 0.750

Space group: Fm-3m, No. 225
Magnetization (μB per atom): 0.00
ρ (g/cm³): 11.9


Stability, descending: arrangement i, arrangement ii


Arrangement i

The following is a PBE-GGA calculation of crystalline Na2LiOs2 at its relaxed geometry, from Alexandria.

Cell lengths 3.516, 3.516, 19.426 Å; angles 90.00, 90.00, 90.00 degrees
Element x y z (fractional)
1 Na 0.000 0.000 0.119
2 Na 0.000 0.000 0.881
3 Na 0.500 0.500 0.381
4 Na 0.500 0.500 0.619
5 Li 0.000 0.000 0.500
6 Li 0.500 0.500 0.000
7 Os 0.000 0.500 0.250
8 Os 0.000 0.500 0.750
9 Os 0.500 0.000 0.250
10 Os 0.500 0.000 0.750

Space group: I4/mmm, No. 139
Magnetization (μB per atom): 0.00
ρ (g/cm³): 6.0


Arrangement ii

The following is a PBE-GGA calculation of crystalline Na2LiOs2 at its relaxed geometry, from Alexandria.

Cell lengths 8.964, 8.964, 2.568 Å; angles 90.00, 90.00, 90.00 degrees
Element x y z (fractional)
1 Na 0.193 0.307 0.000
2 Na 0.307 0.807 0.000
3 Na 0.693 0.193 0.000
4 Na 0.807 0.693 0.000
5 Li 0.000 0.000 0.000
6 Li 0.500 0.500 0.000
7 Os 0.093 0.593 0.500
8 Os 0.407 0.093 0.500
9 Os 0.593 0.907 0.500
10 Os 0.907 0.407 0.500

Space group: P4/mbm, No. 127
Magnetization (μB per atom): 0.00
ρ (g/cm³): 7.0


Stability, descending: arrangement i, arrangement ii


Arrangement i

The following is a PBE-GGA calculation of crystalline NaLiP at its relaxed geometry, from Alexandria.

Cell lengths 4.608, 4.608, 6.017 Å; angles 90.00, 90.00, 90.00 degrees
Element x y z (fractional)
1 Na 0.000 0.500 0.000
2 Na 0.500 0.000 0.000
3 Li 0.000 0.500 0.500
4 Li 0.500 0.000 0.500
5 P 0.000 0.000 0.307
6 P 0.000 0.000 0.693

Space group: P4/mmm, No. 123
Magnetization (μB per atom): 0.00
ρ (g/cm³): 1.6


Arrangement ii

The following is a PBE-GGA calculation of crystalline NaLiP at its relaxed geometry, from Alexandria.

Cell lengths 3.859, 3.859, 7.593 Å; angles 90.00, 90.00, 90.00 degrees
Element x y z (fractional)
1 Na 0.250 0.250 0.131
2 Na 0.750 0.750 0.869
3 Li 0.250 0.750 0.500
4 Li 0.750 0.250 0.500
5 P 0.250 0.250 0.727
6 P 0.750 0.750 0.273

Space group: P4/nmm, No. 129
Magnetization (μB per atom): 0.09
ρ (g/cm³): 1.8


Arrangement iii

The following is a PBE-GGA calculation of crystalline NaLiP at its relaxed geometry, from Alexandria.

Cell lengths 6.124, 9.706, 4.657 Å; angles 90.00, 109.79, 90.00 degrees
Element x y z (fractional)
1 Na 0.000 0.227 0.000
2 Na 0.000 0.773 0.000
3 Na 0.500 0.273 0.000
4 Na 0.500 0.727 0.000
5 Li 0.116 0.500 0.565
6 Li 0.125 0.000 0.492
7 Li 0.616 0.000 0.565
8 Li 0.625 0.500 0.492
9 P 0.218 0.500 0.110
10 P 0.323 0.000 0.052
11 P 0.718 0.000 0.110
12 P 0.823 0.500 0.052

Space group: Cm, No. 8
Magnetization (μB per atom): 0.00
ρ (g/cm³): 1.6


Arrangement iv

The following is a PBE-GGA calculation of crystalline NaLiP at its relaxed geometry, from Alexandria.

Cell lengths 7.433, 7.614, 4.483 Å; angles 90.00, 120.65, 90.00 degrees
Element x y z (fractional)
1 Na 0.000 0.000 0.000
2 Na 0.000 0.425 0.500
3 Na 0.500 0.500 0.000
4 Na 0.500 0.925 0.500
5 Li 0.217 0.624 0.235
6 Li 0.283 0.124 0.765
7 Li 0.717 0.124 0.235
8 Li 0.783 0.624 0.765
9 P 0.182 0.789 0.700
10 P 0.318 0.289 0.300
11 P 0.682 0.289 0.700
12 P 0.818 0.789 0.300

Space group: C2, No. 5
Magnetization (μB per atom): 0.00
ρ (g/cm³): 1.9


Stability, descending: arrangement iv, arrangement i, arrangement iii, arrangement ii


Arrangement i

The following is a PBE-GGA calculation of crystalline NaLiP at its relaxed geometry, from Alexandria.

Cell lengths 4.344, 5.097, 6.397 Å; angles 69.60, 70.15, 64.78 degrees
Element x y z (fractional)
1 Na 0.000 0.000 0.000
2 Na 0.244 0.017 0.487
3 Li 0.417 0.424 0.742
4 Li 0.604 0.532 0.249
5 P 0.739 0.706 0.819
6 P 0.957 0.620 0.457

Space group: P1, No. 1
Magnetization (μB per atom): 0.00
ρ (g/cm³): 1.7


Arrangement ii

The following is a PBE-GGA calculation of crystalline NaLiP at its relaxed geometry, from Alexandria.

Cell lengths 9.818, 4.362, 7.009 Å; angles 90.00, 126.68, 90.00 degrees
Element x y z (fractional)
1 Na 0.090 0.000 0.355
2 Na 0.410 0.500 0.645
3 Na 0.590 0.500 0.355
4 Na 0.910 0.000 0.645
5 Li 0.225 0.500 0.106
6 Li 0.275 0.000 0.894
7 Li 0.725 0.000 0.106
8 Li 0.775 0.500 0.894
9 P 0.131 0.500 0.687
10 P 0.369 0.000 0.313
11 P 0.631 0.000 0.687
12 P 0.869 0.500 0.313

Space group: C2/m, No. 12
Magnetization (μB per atom): 0.00
ρ (g/cm³): 1.7


Arrangement iii

The following is a PBE-GGA calculation of crystalline NaLiP at its relaxed geometry, from Alexandria.

Cell lengths 3.996, 5.549, 11.268 Å; angles 90.00, 90.00, 90.00 degrees
Element x y z (fractional)
1 Na 0.000 0.000 0.212
2 Na 0.000 0.000 0.788
3 Na 0.500 0.500 0.288
4 Na 0.500 0.500 0.712
5 Li 0.000 0.213 0.500
6 Li 0.000 0.787 0.500
7 Li 0.500 0.287 0.000
8 Li 0.500 0.713 0.000
9 P 0.000 0.500 0.101
10 P 0.000 0.500 0.899
11 P 0.500 0.000 0.399
12 P 0.500 0.000 0.601

Space group: Immm, No. 71
Magnetization (μB per atom): 0.02
ρ (g/cm³): 1.6


Stability, descending: arrangement ii, arrangement i, arrangement iii


Arrangement i

The following is a PBE-GGA calculation of crystalline NaLiP at its relaxed geometry, from Alexandria.

Cell lengths 7.899, 4.674, 7.036 Å; angles 90.00, 117.54, 90.00 degrees
Element x y z (fractional)
1 Na 0.250 0.000 0.148
2 Na 0.250 0.500 0.852
3 Na 0.750 0.000 0.852
4 Na 0.750 0.500 0.148
5 Li 0.171 0.500 0.373
6 Li 0.329 0.000 0.627
7 Li 0.671 0.000 0.373
8 Li 0.829 0.500 0.627
9 P 0.009 0.000 0.668
10 P 0.491 0.500 0.332
11 P 0.509 0.500 0.668
12 P 0.991 0.000 0.332

Space group: C2/m, No. 12
Magnetization (μB per atom): 0.00
ρ (g/cm³): 1.8


Arrangement ii

The following is a PBE-GGA calculation of crystalline NaLiP at its relaxed geometry, from Alexandria.

Cell lengths 8.801, 4.415, 6.018 Å; angles 90.00, 104.51, 90.00 degrees
Element x y z (fractional)
1 Na 0.000 0.000 0.000
2 Na 0.225 0.500 0.261
3 Na 0.500 0.500 0.000
4 Na 0.725 0.000 0.261
5 Li 0.195 0.500 0.735
6 Li 0.402 0.000 0.557
7 Li 0.695 0.000 0.735
8 Li 0.902 0.500 0.557
9 P 0.099 0.000 0.539
10 P 0.286 0.000 0.901
11 P 0.599 0.500 0.539
12 P 0.786 0.500 0.901

Space group: Cm, No. 8
Magnetization (μB per atom): 0.00
ρ (g/cm³): 1.8


Stability, descending: arrangement i, arrangement ii


Arrangement i

The following is a PBE-GGA calculation of crystalline NaLiP at its relaxed geometry, from Alexandria.

Cell lengths 3.467, 3.467, 9.382 Å; angles 90.00, 90.00, 90.00 degrees
Element x y z (fractional)
1 Na 0.000 0.000 0.000
2 Na 0.500 0.500 0.500
3 Li 0.000 0.000 0.719
4 Li 0.500 0.500 0.219
5 P 0.000 0.000 0.312
6 P 0.500 0.500 0.812

Space group: I4mm, No. 107
Magnetization (μB per atom): 0.00
ρ (g/cm³): 1.8


Arrangement ii

The following is a PBE-GGA calculation of crystalline NaLiP at its relaxed geometry, from Alexandria.

Cell lengths 5.756, 7.163, 5.827 Å; angles 90.00, 110.72, 90.00 degrees
Element x y z (fractional)
1 Na 0.000 0.213 0.000
2 Na 0.000 0.787 0.000
3 Na 0.500 0.287 0.000
4 Na 0.500 0.713 0.000
5 Li 0.000 0.313 0.500
6 Li 0.000 0.687 0.500
7 Li 0.500 0.187 0.500
8 Li 0.500 0.813 0.500
9 P 0.191 0.000 0.660
10 P 0.309 0.500 0.340
11 P 0.691 0.500 0.660
12 P 0.809 0.000 0.340

Space group: C2/m, No. 12
Magnetization (μB per atom): 0.00
ρ (g/cm³): 1.8


Arrangement iii

The following is a PBE-GGA calculation of crystalline NaLiP at its relaxed geometry, from Alexandria.

Cell lengths 4.633, 4.633, 11.897 Å; angles 90.00, 90.00, 90.00 degrees
Element x y z (fractional)
1 Na 0.000 0.500 0.250
2 Na 0.000 0.500 0.750
3 Na 0.500 0.000 0.250
4 Na 0.500 0.000 0.750
5 Li 0.000 0.500 0.000
6 Li 0.000 0.500 0.500
7 Li 0.500 0.000 0.000
8 Li 0.500 0.000 0.500
9 P 0.000 0.000 0.098
10 P 0.000 0.000 0.902
11 P 0.500 0.500 0.402
12 P 0.500 0.500 0.598

Space group: I4/mmm, No. 139
Magnetization (μB per atom): 0.00
ρ (g/cm³): 1.6


Stability, descending: arrangement ii, arrangement iii, arrangement i